[1]
Below is an optimized crystal structure of Pm2SnPd, with properties calculated at the PBE level.

Cell lengths 6.2575, 4.4789, 8.3494 Å; angles 90.00, 110.99, 90.00 degrees
Closest atoms and distances in Å follow each position.
Positions (direct):
Pm1 0.2134 0.2500 0.4448  3 Pd 3.03-3.28, 3 Sn 3.24-3.30
Pm2 0.2276 0.2500 0.9071  3 Pd 3.05-3.37, 4 Sn 3.23-3.27
Pm3 0.7724 0.7500 0.0929  3 Pd 3.05-3.37, 4 Sn 3.23-3.27
Pm4 0.7866 0.7500 0.5552  3 Pd 3.03-3.28, 3 Sn 3.24-3.30
Sn1 0.3233 0.7500 0.2053  2 Pd 2.95, 7 Pm 3.23-3.30
Sn2 0.6767 0.2500 0.7947  2 Pd 2.95, 7 Pm 3.23-3.30
Pd1 0.3477 0.7500 0.7063  2 Sn 2.95, 5 Pm 3.03-3.28
Pd2 0.6523 0.2500 0.2937  2 Sn 2.95, 5 Pm 3.03-3.28

Values from the calculation:
**Final energy**: -5.446 eV/atom
**Total magnetic moment**: 0.00 μB/cell
**Distance to the lowest polymorph of the same formula**: 0 meV per atom
**Energy of formation**: -0.772 eV/atom

***

[2]
Below is an optimized crystal structure of HfNb2Si4, with properties calculated at the PBE level.

Cell lengths 7.3181, 7.3181, 7.3181 Å; angles 141.41, 141.41, 55.72 degrees
Closest atoms and distances in Å follow each position.
Positions (direct):
Hf1 0.0000 0.0000 0.0000  6 Si 2.42-2.60
Nb1 0.4008 0.4008 0.0000  1 Nb 2.57, 5 Si 2.59-2.74
Nb2 0.5992 0.5992 0.0000  1 Nb 2.57, 5 Si 2.59-2.74
Si1 0.0000 0.5000 0.5000  2 Hf 2.42
Si2 0.2008 0.2008 0.0000  1 Nb 2.59, 1 Hf 2.60
Si3 0.5000 0.0000 0.5000  2 Hf 2.42
Si4 0.7992 0.7992 0.0000  1 Nb 2.59, 1 Hf 2.60

Values from the calculation:
**Final energy**: -6.834 eV/atom
**Total magnetic moment**: 0.00 μB/cell
**Raw formation energy**: 381 kJ/mol of formula units